## CaAc2In (PBE)

Data for crystalline CaAc2In at its relaxed geometry.

Output
Total energy (eV per atom): -3.398
Energy relative to the lowest polymorph listed for this composition (kJ per mole of atoms): 2.3
Formation energy from the elements (meV per atom): -158.4

The structure in extended XYZ format:
```
4
Lattice="-1.485 -1.854 5.445 -4.977 -3.139 0.814 0.319 -5.773 1.361" Properties=species:S:1:pos:R:3 pbc="T T T"
Ac -1.536 -2.692 1.905
Ac -4.608 -8.075 5.715
Ca 0.000 0.000 0.000
In -3.072 -5.383 3.810
```